Entry 1:
This record from Alexandria via LeMat-Bulk describes an optimized crystal structure of BSbPb3. The functional is PBE-GGA.

Unit cell a=5.1232 b=5.1232 c=5.1232 alpha=90.00 beta=90.00 gamma=90.00
Fractional coordinates of all 5 atoms:
Pb (0.0000, 0.5000, 0.0000)
Pb (0.0000, 0.0000, 0.5000)
Pb (0.5000, 0.0000, 0.0000)
Sb (0.5000, 0.5000, 0.5000)
B (0.0000, 0.0000, 0.0000)

Results
Crystal system ... cubic
Spin magnetization ... 0.0 μB per cell
Uncorrected formation energy ... 0.5530 eV per atom

***

Entry 2:
This record from Alexandria via LeMat-Bulk describes an optimized crystal structure of LiNpNiRu. The functional is PBE-GGA.

Unit cell a=4.4403 b=4.4403 c=4.4403 alpha=60.00 beta=60.00 gamma=60.00
Fractional coordinates of all 4 atoms:
Ni (0.7500, 0.7500, 0.7500)
Np (0.5000, 0.5000, 0.5000)
Li (0.0000, 0.0000, 0.0000)
Ru (0.2500, 0.2500, 0.2500)

Results
Crystal system ... cubic
Calculated total energy ... -7.427 eV/atom
Spin magnetization ... 3.2 μB per cell

***

Question: spin magnetization of number 1 (BSbPb3)?
Answer: 0.0 μB per cell